No. 1
A plane-wave DFT calculation with GGA-PBE was carried out for an optimized crystal structure of ZrScPO2.

The structure in extended XYZ format:
```
5
Lattice="-2.058 0.971 -3.328 3.090 -1.240 -2.273 -2.116 -4.998 -0.150" Properties=species:S:1:pos:R:3 pbc="T T T"
O -1.029 0.486 -1.664
O 1.545 -0.620 -1.136
Sc -0.542 -2.633 -2.875
Zr 0.000 0.000 0.000
P -1.058 -2.499 -0.075
```

Values from the calculation:
uncorrected formation energy = -1.94 eV per atom
distance to the lowest polymorph of the same formula = 0.0 meV per atom
space group = P4/mmm (123)
crystal system = tetragonal

***

No. 2
A plane-wave DFT calculation with GGA-PBE was carried out for an optimized crystal structure of PSeO3.

The structure in extended XYZ format:
```
5
Lattice="-1.907 3.345 -0.591 -3.113 -1.451 1.838 1.358 1.372 3.384" Properties=species:S:1:pos:R:3 pbc="T T T"
O -0.954 1.672 -0.295
O -1.557 -0.725 0.919
O 0.679 0.686 1.692
P -1.831 1.633 2.315
Se 0.000 0.000 0.000
```

Values from the calculation:
uncorrected formation energy = 0.37 eV per atom
space group = Pm-3m (221)
crystal system = cubic